Entry 1:
VASP calculation (PBE) on a relaxed structure of NiMo3Ir.

Size of the total moment   0.0 μB/cell
E_tot   -38.01 eV for the cell shown
Excess energy over the best structure of this formula in the dataset   501 meV/atom
Crystal system   cubic

abc: 4.7084 4.7084 4.7084
angles: 90.00 90.00 90.00
Closest atoms and distances in Å follow each position.
Space group Pm-3m (No. 221)
Unique sites:
Ni1 0.0000 0.0000 0.0000 x1  12 Mo 3.33
Mo1 0.0000 0.5000 0.5000 x3  2 Ir 2.35
Ir1 0.5000 0.5000 0.5000 x1  6 Mo 2.35

***

Entry 2:
VASP calculation (PBE) on a relaxed structure of NiMo5Ir4.

Size of the total moment   0.0 μB/cell
E_tot   -97.52 eV for the cell shown
Crystal system   tetragonal

abc: 2.7547 2.7547 19.4475
angles: 90.00 90.00 90.00
Closest atoms and distances in Å follow each position.
Space group P4/mmm (No. 123)
Unique sites:
Ni1 0.0000 0.0000 0.0000 x1  8 Mo 2.67, 4 Ni 2.75
Mo1 0.5000 0.5000 0.0939 x2  4 Ni 2.67, 4 Mo 2.75, 4 Ir 2.77
Mo2 0.5000 0.5000 0.2969 x2  4 Mo 2.75, 8 Ir 2.77-2.78
Mo3 0.5000 0.5000 0.5000 x1  4 Mo 2.75, 8 Ir 2.78
Ir1 0.0000 0.0000 0.1949 x2  4 Ir 2.75, 8 Mo 2.77-2.78
Ir2 0.0000 0.0000 0.3982 x2  4 Ir 2.75, 8 Mo 2.77-2.78

***

Entry 3:
VASP calculation (PBE) on a relaxed structure of Ni2MoIr.

Size of the total moment   0.0 μB/cell
E_tot   -93.20 eV for the cell shown
Excess energy over the best structure of this formula in the dataset   241 meV/atom
Crystal system   trigonal

abc: 2.6941 2.6941 25.4679
angles: 90.00 90.00 120.00
Closest atoms and distances in Å follow each position.
Space group R3m (No. 160, hexagonal axes)
Unique sites:
Ni1 0.0000 0.0000 0.0000 x3  9 Ni 2.51-2.69, 3 Mo 2.66
Ni2 0.0000 0.0000 0.2559 x3  9 Ni 2.51-2.69, 3 Ir 2.65
Mo1 0.0000 0.0000 0.7513 x3  3 Ni 2.66, 6 Mo 2.69, 3 Ir 2.70
Ir1 0.0000 0.0000 0.5048 x3  3 Ni 2.65, 6 Ir 2.69, 3 Mo 2.70

***

Entry 4:
VASP calculation (PBE) on a relaxed structure of NiMoIr3.

Size of the total moment   1.0 μB/cell
E_tot   -33.78 eV for the cell shown
Excess energy over the best structure of this formula in the dataset   1735 meV/atom
Crystal system   cubic

abc: 4.6886 4.6886 4.6886
angles: 90.00 90.00 90.00
Closest atoms and distances in Å follow each position.
Space group Pm-3m (No. 221)
Unique sites:
Ni1 0.0000 0.0000 0.0000 x1  12 Ir 3.32
Mo1 0.5000 0.5000 0.5000 x1  6 Ir 2.34
Ir1 0.0000 0.5000 0.5000 x3  2 Mo 2.34